Entry i
The following is a PBE calculation of a relaxed ZrTeRh3 crystal, from Alexandria.

Output
As for the total magnetization: 0.00 μB/atom. The density of states at the Fermi level is 0.803 states/eV/atom.

Cell and atoms, written as extended XYZ:
```
5
Lattice="-3.336 -0.976 3.353 -1.984 -3.286 -2.931 2.873 -3.402 1.869" Properties=species:S:1:pos:R:3 pbc="T T T"
Rh 1.437 -1.701 0.935
Rh -1.668 -0.488 1.676
Rh -0.992 -1.643 -1.465
Te -1.224 -3.832 1.145
Zr 0.000 0.000 0.000
```

***

Entry ii
The following is a PBE calculation of a relaxed ZrTeRh3 crystal, from Alexandria.

Output
As for the total magnetization: 0.00 μB/atom. The density of states at the Fermi level is 1.769 states/eV/atom.

Cell and atoms, written as extended XYZ:
```
5
Lattice="4.772 0.000 0.000 0.000 4.772 0.000 0.000 0.000 4.772" Properties=species:S:1:pos:R:3 pbc="T T T"
Rh 2.386 0.000 0.000
Rh 0.000 2.386 0.000
Rh 0.000 0.000 2.386
Te 0.000 0.000 0.000
Zr 2.386 2.386 2.386
```

***

Stability, lowest: entry i

***

Entry i
The following is a PBE calculation of a relaxed YThTlRh crystal, from Alexandria.

Output
As for the total magnetization: 0.00 μB/atom. The density of states at the Fermi level is 0.998 states/eV/atom.

Cell and atoms, written as extended XYZ:
```
4
Lattice="4.011 -0.001 0.000 -2.006 3.459 0.001 -2.005 -1.149 8.224" Properties=species:S:1:pos:R:3 pbc="T T T"
Y 0.378 -0.245 5.492
Rh -1.626 0.903 7.166
Tl 2.382 0.898 3.058
Th -1.624 3.203 0.483
```

***

Entry ii
The following is a PBE calculation of a relaxed YThTlRh crystal, from Alexandria.

Output
As for the total magnetization: 0.00 μB/atom. The density of states at the Fermi level is 0.993 states/eV/atom.

Cell and atoms, written as extended XYZ:
```
4
Lattice="5.226 0.000 0.000 2.613 4.526 0.000 2.613 1.509 4.267" Properties=species:S:1:pos:R:3 pbc="T T T"
Tl 5.226 3.017 2.133
Rh 0.000 0.000 0.000
Th 2.613 1.509 1.067
Y 7.839 4.526 3.200
```

***

Stability, lowest: entry ii

***

Entry i
The following is a PBE calculation of a relaxed TmTh2Rh2 crystal, from Alexandria.

Output
As for the total magnetization: 0.00 μB/atom. The density of states at the Fermi level is 0.920 states/eV/atom.

Cell and atoms, written as extended XYZ:
```
10
Lattice="3.924 0.000 0.000 0.000 7.808 0.000 0.000 0.000 7.808" Properties=species:S:1:pos:R:3 pbc="T T T"
Rh 0.000 1.064 2.840
Rh 0.000 4.968 1.064
Rh 0.000 6.744 4.968
Rh 0.000 2.840 6.744
Tm 0.000 0.000 0.000
Tm 0.000 3.904 3.904
Th 1.962 1.314 5.218
Th 1.962 2.590 1.314
Th 1.962 5.218 6.494
Th 1.962 6.494 2.590
```

***

Entry ii
The following is a PBE calculation of a relaxed TmTh2Rh2 crystal, from Alexandria.

Output
As for the total magnetization: 0.00 μB/atom. The density of states at the Fermi level is 0.905 states/eV/atom.

Cell and atoms, written as extended XYZ:
```
5
Lattice="-3.636 3.378 3.020 -3.917 -2.789 -3.259 4.685 -2.940 2.677" Properties=species:S:1:pos:R:3 pbc="T T T"
Tm 0.000 0.000 0.000
Th -1.349 0.696 3.124
Th -1.519 -3.046 -0.686
Rh -0.182 -1.961 1.935
Rh -2.687 -0.389 0.503
```

***

Stability, lowest: entry ii

***

Entry i
The following is a PBE calculation of a relaxed YThRh crystal, from Alexandria.

Output
As for the total magnetization: 0.00 μB/atom. The density of states at the Fermi level is 1.219 states/eV/atom.

Cell and atoms, written as extended XYZ:
```
3
Lattice="4.907 0.000 0.000 2.454 4.250 0.000 2.454 1.417 4.007" Properties=species:S:1:pos:R:3 pbc="T T T"
Rh 2.454 1.417 1.002
Y 0.000 0.000 0.000
Th 4.907 2.833 2.003
```

***

Entry ii
The following is a PBE calculation of a relaxed YThRh crystal, from Alexandria.

Output
As for the total magnetization: 0.00 μB/atom. The density of states at the Fermi level is 0.937 states/eV/atom.

Cell and atoms, written as extended XYZ:
```
12
Lattice="5.945 0.000 0.000 0.000 6.850 -1.928 0.000 1.704 7.798" Properties=species:S:1:pos:R:3 pbc="T T T"
Th 0.865 6.260 5.492
Th 2.107 1.983 2.557
Th 5.080 2.294 0.378
Th 3.838 6.571 3.313
Y 0.838 5.230 1.626
Y 3.810 5.897 -0.620
Y 5.108 3.324 4.243
Y 2.135 2.657 6.489
Rh 2.131 4.275 4.151
Rh 0.841 6.848 -0.712
Rh 3.814 4.279 1.718
Rh 5.104 1.706 6.582
```

***

Stability, lowest: entry i

***

Entry i
The following is a PBE calculation of a relaxed YThRh crystal, from Alexandria.

Output
As for the total magnetization: 0.00 μB/atom. The density of states at the Fermi level is 1.367 states/eV/atom.

Cell and atoms, written as extended XYZ:
```
3
Lattice="-2.868 -1.719 -1.408 2.054 -1.172 -2.751 1.737 -3.210 5.056" Properties=species:S:1:pos:R:3 pbc="T T T"
Y 0.852 -2.982 1.906
Th 0.076 -0.265 0.169
Rh -0.004 -2.855 -1.178
```

***

Entry ii
The following is a PBE calculation of a relaxed YThRh crystal, from Alexandria.

Output
As for the total magnetization: 0.00 μB/atom. The density of states at the Fermi level is 1.008 states/eV/atom.

Cell and atoms, written as extended XYZ:
```
3
Lattice="4.037 0.000 0.000 0.000 4.686 0.000 0.000 -2.343 4.059" Properties=species:S:1:pos:R:3 pbc="T T T"
Th 0.244 0.000 0.000
Y 2.445 2.343 1.353
Rh 1.348 0.000 2.706
```

***

Stability, lowest: entry ii

***

Entry i
The following is a PBE calculation of a relaxed Y2ThRh3 crystal, from Alexandria.

Output
As for the total magnetization: 0.00 μB/atom. The density of states at the Fermi level is 0.496 states/eV/atom.

Cell and atoms, written as extended XYZ:
```
12
Lattice="-3.069 -4.721 0.073 5.118 -3.378 -3.220 3.029 1.494 6.721" Properties=species:S:1:pos:R:3 pbc="T T T"
Y 0.038 -2.659 1.973
Y 5.040 -3.946 1.602
Y 1.963 -5.323 0.378
Y 3.115 -1.281 3.197
Rh 2.321 -4.134 3.073
Rh 1.991 -5.375 -2.371
Rh 0.825 0.182 2.097
Rh 0.058 -2.724 -0.776
Rh 2.757 -2.471 0.502
Rh 4.253 -6.787 1.478
Th 3.473 -3.096 -2.406
Th -1.424 -5.003 -0.740
```

***

Entry ii
The following is a PBE calculation of a relaxed Y2ThRh3 crystal, from Alexandria.

Output
As for the total magnetization: 0.00 μB/atom. The density of states at the Fermi level is 0.316 states/eV/atom.

Cell and atoms, written as extended XYZ:
```
6
Lattice="4.932 0.000 0.000 -2.466 4.271 0.000 0.000 0.000 6.044" Properties=species:S:1:pos:R:3 pbc="T T T"
Rh 2.466 1.424 5.138
Rh 0.000 0.000 3.022
Rh 0.000 2.847 0.905
Th 0.000 0.000 0.000
Y 0.000 2.847 3.960
Y 2.466 1.424 2.083
```

***

Stability, lowest: entry i

***

Entry i
The following is a PBE calculation of a relaxed YTh2Rh2 crystal, from Alexandria.

Output
As for the total magnetization: 0.00 μB/atom. The density of states at the Fermi level is 0.914 states/eV/atom.

Cell and atoms, written as extended XYZ:
```
10
Lattice="-3.106 -0.304 2.338 -2.370 -6.373 -3.977 4.132 -4.588 4.891" Properties=species:S:1:pos:R:3 pbc="T T T"
Th -1.649 -3.040 0.666
Th 0.306 -8.226 2.587
Th -2.152 -6.984 -0.515
Th 0.808 -4.282 3.768
Y 0.000 0.000 0.000
Y 0.881 -5.481 0.457
Rh 2.711 -6.303 2.780
Rh 1.193 -2.534 1.255
Rh -0.948 -4.659 -1.866
Rh 0.569 -8.428 -0.341
```

***

Entry ii
The following is a PBE calculation of a relaxed YTh2Rh2 crystal, from Alexandria.

Output
As for the total magnetization: 0.00 μB/atom. The density of states at the Fermi level is 0.931 states/eV/atom.

Cell and atoms, written as extended XYZ:
```
5
Lattice="5.765 0.136 -0.885 -1.091 5.662 -0.885 -2.555 -3.169 4.687" Properties=species:S:1:pos:R:3 pbc="T T T"
Th -1.026 2.995 1.459
Th 3.145 -0.366 1.459
Rh 0.366 0.454 2.736
Rh 1.753 2.175 0.182
Y 0.000 0.000 0.000
```

***

Stability, lowest: entry ii

***

Entry i
The following is a PBE calculation of a relaxed Y2ThRh crystal, from Alexandria.

Output
As for the total magnetization: 0.00 μB/atom. The density of states at the Fermi level is 1.053 states/eV/atom.

Cell and atoms, written as extended XYZ:
```
4
Lattice="-2.556 -2.179 -0.980 2.345 -2.564 -0.414 -1.131 -2.358 8.189" Properties=species:S:1:pos:R:3 pbc="T T T"
Y -0.912 -1.901 6.602
Y -0.219 -0.457 1.587
Th -0.671 -3.550 3.397
Rh -0.106 -2.372 -0.697
```

***

Entry ii
The following is a PBE calculation of a relaxed Y2ThRh crystal, from Alexandria.

Output
As for the total magnetization: 0.00 μB/atom. The density of states at the Fermi level is 1.205 states/eV/atom.

Cell and atoms, written as extended XYZ:
```
16
Lattice="6.445 0.000 0.000 0.000 7.135 0.000 0.000 0.000 9.764" Properties=species:S:1:pos:R:3 pbc="T T T"
Rh 2.926 6.213 2.441
Rh 6.149 4.489 7.323
Rh 3.518 0.922 7.323
Rh 0.296 2.646 2.441
Y 2.143 1.261 0.639
Y 1.080 4.829 0.639
Y 1.080 4.829 4.243
Y 5.365 2.307 9.124
Y 4.302 5.874 9.124
Y 4.302 5.874 5.521
Y 5.365 2.307 5.521
Y 2.143 1.261 4.243
Th 4.233 3.854 2.441
Th 2.212 3.281 7.323
Th 1.011 6.849 7.323
Th 5.434 0.286 2.441
```

***

Stability, lowest: entry i